No. 1
YCdBr2: optimized geometry, GGA-PBE.

- total magnetization (μB/cell) = 0.000
- DOS(E_F) (states/eV/f.u.) = 2.48
- energy above the most stable polymorph in this dataset (kJ per mole of atoms) = 4.7
- formation energy without anion corrections (meV per atom) = -1015.0

Cell: 3.7129 5.6614 13.9905 Å, 90.00 90.00 90.00°
With the nearest neighbours (Å) after each atom.
Space group Immm (No. 71)
Symmetry-distinct sites (fractional):
1 Y 0.0000 0.0000 0.0000 [2 per cell]  4 Br 2.84
2 Cd 0.0000 0.0000 0.5000 [2 per cell]  4 Y 3.39, 4 Br 3.56, 2 Cd 3.71
3 Br 0.0000 0.5000 0.3462 [4 per cell]  2 Y 2.84

No. 2
YCdBr: optimized geometry, GGA-PBE.

- total magnetization (μB/cell) = 0.000
- DOS(E_F) (states/eV/f.u.) = 2.04
- energy above the most stable polymorph in this dataset (kJ per mole of atoms) = 2.6
- formation energy without anion corrections (meV per atom) = -727.2

Cell: 3.7214 3.7214 7.8689 Å, 90.00 90.00 120.00°
With the nearest neighbours (Å) after each atom.
Space group P3m1 (No. 156)
Symmetry-distinct sites (fractional):
1 Y 0.0000 0.0000 0.0000 [1 per cell]  3 Br 2.92, 3 Cd 3.16
2 Cd 0.6667 0.3333 0.7062 [1 per cell]  3 Y 3.16
3 Br 0.3333 0.6667 0.2509 [1 per cell]  3 Y 2.92

No. 3
YCdBr2: optimized geometry, GGA-PBE.

- total magnetization (μB/cell) = 0.000
- DOS(E_F) (states/eV/f.u.) = 1.08
- energy above the most stable polymorph in this dataset (kJ per mole of atoms) = 12.6
- formation energy without anion corrections (meV per atom) = -933.3

Cell: 3.8792 4.0402 10.4097 Å, 90.00 90.36 90.00°
With the nearest neighbours (Å) after each atom.
Space group P2/m (No. 10)
Symmetry-distinct sites (fractional):
1 Y 0.0000 0.0000 0.0000 [1 per cell]  4 Br 2.80
2 Cd 0.5000 0.0000 0.5000 [1 per cell]  4 Cd 3.88-4.04, 8 Br 4.29-4.31
3 Br 0.0001 0.5000 0.1864 [2 per cell]  2 Y 2.80

No. 4
YCdBr2: optimized geometry, GGA-PBE.

- total magnetization (μB/cell) = 0.000
- DOS(E_F) (states/eV/f.u.) = 1.63
- energy above the most stable polymorph in this dataset (kJ per mole of atoms) = 39.9
- formation energy without anion corrections (meV per atom) = -650.7

Cell: 6.8138 8.5062 3.6902 Å, 90.00 90.00 90.00°
With the nearest neighbours (Å) after each atom.
Space group Cmmm (No. 65)
Symmetry-distinct sites (fractional):
1 Y 0.0000 0.0000 0.0000 [2 per cell]  8 Br 3.29, 2 Cd 3.41
2 Cd 0.0000 0.5000 0.0000 [2 per cell]  8 Br 3.29, 2 Y 3.41
3 Br 0.2500 0.2500 0.5000 [4 per cell]  4 Cd 3.29, 4 Y 3.29, 2 Br 3.41

No. 5
Y2CdBr: optimized geometry, GGA-PBE.

- total magnetization (μB/cell) = 0.000
- DOS(E_F) (states/eV/f.u.) = 4.59
- energy above the most stable polymorph in this dataset (kJ per mole of atoms) = 26.6
- formation energy without anion corrections (meV per atom) = -350.4

Cell: 3.6264 5.1255 6.2184 Å, 90.00 90.00 90.00°
With the nearest neighbours (Å) after each atom.
Space group Pmmm (No. 47)
Symmetry-distinct sites (fractional):
1 Y 0.0000 0.0000 0.0000 [1 per cell]  4 Br 3.14
2 Y 0.5000 0.0000 0.5000 [1 per cell]  4 Cd 3.14
3 Cd 0.0000 0.5000 0.5000 [1 per cell]  4 Y 3.14
4 Br 0.5000 0.5000 0.0000 [1 per cell]  4 Y 3.14

No. 6
Y2CdBr: optimized geometry, GGA-PBE.

- total magnetization (μB/cell) = 0.000
- DOS(E_F) (states/eV/f.u.) = 4.19
- energy above the most stable polymorph in this dataset (kJ per mole of atoms) = 19.5
- formation energy without anion corrections (meV per atom) = -423.7

Cell: 7.5218 7.5218 7.5218 Å, 90.00 90.00 90.00°
With the nearest neighbours (Å) after each atom.
Space group Fm-3m (No. 225)
Symmetry-distinct sites (fractional):
1 Y 0.2500 0.2500 0.2500 [8 per cell]  4 Cd 3.26, 4 Br 3.26
2 Cd 0.0000 0.0000 0.0000 [4 per cell]  8 Y 3.26
3 Br 0.0000 0.0000 0.5000 [4 per cell]  8 Y 3.26

No. 7
YCdBr2: optimized geometry, GGA-PBE.

- total magnetization (μB/cell) = 0.000
- DOS(E_F) (states/eV/f.u.) = 1.68
- energy above the most stable polymorph in this dataset (kJ per mole of atoms) = 10.8
- formation energy without anion corrections (meV per atom) = -952.5

Cell: 3.4926 5.0083 14.7229 Å, 90.00 90.00 90.00°
With the nearest neighbours (Å) after each atom.
Space group Imm2 (No. 44)
Symmetry-distinct sites (fractional):
1 Y 0.0000 0.0000 0.0000 [2 per cell]  6 Br 2.89-3.08
2 Cd 0.0000 0.5000 0.6911 [2 per cell]  2 Y 3.31, 2 Br 3.48, 2 Cd 3.49
3 Br 0.0000 0.0000 0.5268 [2 per cell]  4 Y 3.08
4 Br 0.0000 0.5000 0.3438 [2 per cell]  2 Y 2.89

No. 8
YCd3Br: optimized geometry, GGA-PBE.

- total magnetization (μB/cell) = 0.000
- DOS(E_F) (states/eV/f.u.) = 5.55
- energy above the most stable polymorph in this dataset (kJ per mole of atoms) = 9.2
- formation energy without anion corrections (meV per atom) = 469.2

Cell: 5.5121 5.5121 5.5121 Å, 90.00 90.00 90.00°
With the nearest neighbours (Å) after each atom.
Space group Pm-3m (No. 221)
Symmetry-distinct sites (fractional):
1 Y 0.0000 0.0000 0.0000 [1 per cell]  12 Cd 3.90
2 Cd 0.0000 0.5000 0.5000 [3 per cell]  2 Br 2.76
3 Br 0.5000 0.5000 0.5000 [1 per cell]  6 Cd 2.76

No. 9
YCdBr2: optimized geometry, GGA-PBE.

- total magnetization (μB/cell) = 0.000
- DOS(E_F) (states/eV/f.u.) = 2.58
- energy above the most stable polymorph in this dataset (kJ per mole of atoms) = 36.4
- formation energy without anion corrections (meV per atom) = -686.4

Cell: 3.8696 4.7543 5.8052 Å, 90.00 90.00 90.00°
With the nearest neighbours (Å) after each atom.
Space group Pmmm (No. 47)
Symmetry-distinct sites (fractional):
1 Y 0.0000 0.0000 0.0000 [1 per cell]  4 Br 3.07
2 Cd 0.5000 0.0000 0.5000 [1 per cell]  4 Br 3.07
3 Br 0.0000 0.5000 0.5000 [1 per cell]  4 Cd 3.07
4 Br 0.5000 0.5000 0.0000 [1 per cell]  4 Y 3.07

No. 10
Y2CdBr: optimized geometry, GGA-PBE.

- total magnetization (μB/cell) = 0.000
- DOS(E_F) (states/eV/f.u.) = 5.55
- energy above the most stable polymorph in this dataset (kJ per mole of atoms) = 48.3
- formation energy without anion corrections (meV per atom) = -124.9

Cell: 4.9517 4.9517 20.4651 Å, 90.00 90.00 90.00°
With the nearest neighbours (Å) after each atom.
Space group I-42d (No. 122)
Symmetry-distinct sites (fractional):
1 Y 0.2382 0.2500 0.1250 [8 per cell]  2 Br 3.08, 2 Cd 3.12, 2 Y 3.42
2 Cd 0.0000 0.0000 0.5000 [4 per cell]  4 Y 3.12
3 Br 0.0000 0.0000 0.0000 [4 per cell]  4 Y 3.08

No. 11
Y3CdBr: optimized geometry, GGA-PBE.

- total magnetization (μB/cell) = 0.000
- DOS(E_F) (states/eV/f.u.) = 2.32
- energy above the most stable polymorph in this dataset (kJ per mole of atoms) = 0.0
- formation energy without anion corrections (meV per atom) = -202.4

Cell: 5.3254 5.3254 5.3254 Å, 90.00 90.00 90.00°
With the nearest neighbours (Å) after each atom.
Space group Pm-3m (No. 221)
Symmetry-distinct sites (fractional):
1 Y 0.0000 0.0000 0.5000 [3 per cell]  2 Br 2.66
2 Cd 0.5000 0.5000 0.5000 [1 per cell]  12 Y 3.77
3 Br 0.0000 0.0000 0.0000 [1 per cell]  6 Y 2.66

No. 12
YCdBr2: optimized geometry, GGA-PBE.

- total magnetization (μB/cell) = 0.221
- DOS(E_F) (states/eV/f.u.) = 2.16
- energy above the most stable polymorph in this dataset (kJ per mole of atoms) = 13.6
- formation energy without anion corrections (meV per atom) = -923.1

Cell: 3.8799 6.7428 11.5014 Å, 90.00 90.00 90.00°
With the nearest neighbours (Å) after each atom.
Space group Cmmm (No. 65)
Symmetry-distinct sites (fractional):
1 Y 0.0000 0.0000 0.0000 [2 per cell]  4 Br 2.83
2 Cd 0.0000 0.0000 0.5000 [2 per cell]  6 Cd 3.88-3.89, 4 Br 4.17
3 Br 0.0000 0.5000 0.1787 [4 per cell]  2 Y 2.83